Record 1
{
  "formula": "ReBiCl3",
  "functional": "GGA-PBE",
  "state": "relaxed",
  "lattice": [[-3.863, -0.210, 2.920], [-2.910, -0.240, -3.868], [0.312, -4.836, 0.065]],
  "species": ["Cl", "Cl", "Cl", "Re", "Bi"],
  "fractional_positions": [[0.000, 0.500, 0.000], [0.500, 0.000, 0.000], [0.000, 0.000, 0.500], [0.000, 0.000, 0.000], [0.500, 0.500, 0.500]],
  "formation_energy_uncorrected_ev_per_atom": 0.46
}


Record 2
{
  "formula": "ReBi2Cl",
  "functional": "GGA-PBE",
  "state": "relaxed",
  "lattice": [[-0.053, -4.902, -1.345], [-2.998, -1.561, -3.798], [2.046, -1.444, -4.424]],
  "species": ["Bi", "Bi", "Cl", "Re"],
  "fractional_positions": [[0.750, 0.750, 0.750], [0.250, 0.250, 0.250], [0.000, 0.000, 0.000], [0.500, 0.500, 0.500]],
  "formation_energy_uncorrected_ev_per_atom": 0.75
}


Record 3
{
  "formula": "ReBi2Cl",
  "functional": "GGA-PBE",
  "state": "relaxed",
  "lattice": [[-2.034, 2.751, 5.732], [-5.660, -3.524, -0.318], [-1.087, -5.113, 5.955]],
  "species": ["Bi", "Bi", "Bi", "Bi", "Re", "Re", "Cl", "Cl"],
  "fractional_positions": [[0.060, 0.625, 0.250], [0.875, 0.940, 0.750], [0.690, 0.125, 0.250], [0.375, 0.310, 0.750], [0.750, 0.250, 0.500], [0.000, 0.000, 0.000], [0.250, 0.750, 0.500], [0.500, 0.500, 0.000]],
  "formation_energy_uncorrected_ev_per_atom": 0.68
}


Here are the calculated N(E_F) numbers, same order: 6.19 2.61 1.40 (states/eV/f.u.).